No. 1
# Er2MnAl

Crystalline Er2MnAl at its relaxed geometry (PBE-GGA, Alexandria).

Values from the calculation:
The energy is -20.39 eV for the cell shown. As for the symmetry: R-3m, No. 166.

a = 10.5976 Å, b = 10.5976 Å, c = 10.5976 Å
α = 17.80°, β = 17.80°, γ = 17.80°
Atoms (fractional coordinates):
Er: 0.0906 0.0906 0.0906
Er: 0.9094 0.9094 0.9094
Mn: 0.0000 0.0000 0.0000
Al: 0.5000 0.5000 0.5000

No. 2
# ErMnAl

Crystalline ErMnAl at its relaxed geometry (PBE-GGA, Alexandria).

Values from the calculation:
The energy is -34.99 eV for the cell shown. As for the symmetry: Pmma, No. 51.

a = 5.3661 Å, b = 3.0272 Å, c = 7.0836 Å
α = 90.00°, β = 90.00°, γ = 90.00°
Atoms (fractional coordinates):
Er: 0.2500 0.0000 0.1461
Er: 0.7500 0.0000 0.8539
Mn: 0.0000 0.0000 0.5000
Mn: 0.5000 0.0000 0.5000
Al: 0.2500 0.5000 0.7437
Al: 0.7500 0.5000 0.2563

No. 3
# ErMn4Al12

Crystalline ErMn4Al12 at its relaxed geometry (PBE-GGA, Alexandria).

Values from the calculation:
The energy is -82.78 eV for the cell shown. As for the symmetry: Im-3m, No. 229.

a = 7.8736 Å, b = 7.8736 Å, c = 7.8736 Å
α = 109.47°, β = 109.47°, γ = 109.47°
Atoms (fractional coordinates):
Er: 0.0000 0.0000 0.0000
Mn: 0.0000 0.0000 0.5000
Mn: 0.0000 0.5000 0.0000
Mn: 0.5000 0.0000 0.0000
Mn: 0.5000 0.5000 0.5000
Al: 0.0000 0.2653 0.7347
Al: 0.0000 0.7347 0.2653
Al: 0.2653 0.0000 0.7347
Al: 0.2653 0.2653 0.5306
Al: 0.2653 0.5306 0.2653
Al: 0.2653 0.7347 0.0000
Al: 0.4694 0.7347 0.7347
Al: 0.5306 0.2653 0.2653
Al: 0.7347 0.0000 0.2653
Al: 0.7347 0.2653 0.0000
Al: 0.7347 0.4694 0.7347
Al: 0.7347 0.7347 0.4694

No. 4
# ErMnAl

Crystalline ErMnAl at its relaxed geometry (PBE-GGA, Alexandria).

Values from the calculation:
The energy is -36.45 eV for the cell shown. As for the symmetry: Imma, No. 74.

a = 5.3922 Å, b = 5.3922 Å, c = 5.3922 Å
α = 119.50°, β = 119.03°, γ = 91.28°
Atoms (fractional coordinates):
Er: 0.3695 0.1195 0.2500
Er: 0.6305 0.8805 0.7500
Mn: 0.0000 0.0000 0.5000
Mn: 0.0000 0.5000 0.0000
Al: 0.0000 0.5000 0.5000
Al: 0.5000 0.5000 0.0000

No. 5
# ErMnAl3

Crystalline ErMnAl3 at its relaxed geometry (PBE-GGA, Alexandria).

Values from the calculation:
The energy is -52.40 eV for the cell shown. As for the symmetry: P6_3/mmc, No. 194.

a = 6.2258 Å, b = 6.2258 Å, c = 5.4011 Å
α = 90.00°, β = 90.00°, γ = 120.00°
Atoms (fractional coordinates):
Er: 0.3333 0.6667 0.2500
Er: 0.6667 0.3333 0.7500
Mn: 0.0000 0.0000 0.0000
Mn: 0.0000 0.0000 0.5000
Al: 0.1876 0.3753 0.7500
Al: 0.1876 0.8124 0.7500
Al: 0.3753 0.1876 0.2500
Al: 0.6247 0.8124 0.7500
Al: 0.8124 0.1876 0.2500
Al: 0.8124 0.6247 0.2500

No. 6
# ErMnAl4

Crystalline ErMnAl4 at its relaxed geometry (PBE-GGA, Alexandria).

Values from the calculation:
The energy is -59.83 eV for the cell shown. As for the symmetry: C2/m, No. 12.

a = 8.2195 Å, b = 8.2195 Å, c = 4.7912 Å
α = 106.91°, β = 106.91°, γ = 45.66°
Atoms (fractional coordinates):
Er: 0.2116 0.2116 0.2123
Er: 0.7884 0.7884 0.7877
Mn: 0.4999 0.4999 0.2747
Mn: 0.5001 0.5001 0.7253
Al: 0.1252 0.6627 0.3941
Al: 0.1891 0.8109 0.0000
Al: 0.3373 0.8748 0.6059
Al: 0.3499 0.3499 0.8497
Al: 0.6501 0.6501 0.1503
Al: 0.6627 0.1252 0.3941
Al: 0.8109 0.1891 0.0000
Al: 0.8748 0.3373 0.6059

No. 7
# ErMnAl

Crystalline ErMnAl at its relaxed geometry (PBE-GGA, Alexandria).

Values from the calculation:
The energy is -17.80 eV for the cell shown. As for the symmetry: I4mm, No. 107.

a = 5.9339 Å, b = 5.9339 Å, c = 5.9339 Å
α = 148.35°, β = 148.35°, γ = 45.37°
Atoms (fractional coordinates):
Er: 0.0000 0.0000 0.0000
Mn: 0.6752 0.6752 0.0000
Al: 0.2957 0.2957 0.0000

No. 8
# ErMn5Al7

Crystalline ErMn5Al7 at its relaxed geometry (PBE-GGA, Alexandria).

Values from the calculation:
The energy is -80.55 eV for the cell shown. As for the symmetry: Imm2, No. 44.

a = 6.6376 Å, b = 6.6376 Å, c = 6.6376 Å
α = 136.14°, β = 97.67°, γ = 98.37°
Atoms (fractional coordinates):
Er: 0.0000 0.0000 0.0000
Mn: 0.2287 0.7287 0.5000
Mn: 0.4931 0.0033 0.0109
Mn: 0.4931 0.4822 0.4899
Mn: 0.9923 0.0033 0.5101
Mn: 0.9923 0.4822 0.9891
Al: 0.2096 0.5003 0.7093
Al: 0.3271 0.9854 0.3417
Al: 0.3344 0.3344 0.0000
Al: 0.6438 0.9854 0.6583
Al: 0.6570 0.6570 0.0000
Al: 0.7700 0.2700 0.5000
Al: 0.7910 0.5003 0.2907